1.
This record from Alexandria describes a geometry-optimized PrCdCu structure. The functional is PBE.

The structure belongs to space group I4mm (No. 107); the cell edges are 3.472, 3.472 and 11.374 Å and the angles 90.00°, 90.00° and 90.00°. The distinct sites, in fractional coordinates, are Pr at (0.000, 0.000, 0.000), Cd at (0.000, 0.000, 0.293) and Cu at (0.000, 0.000, 0.673).

Its crystal system is tetragonal. The offset from the most stable computed form is 0.464 eV per formula unit. Its total DFT energy (no corrections) is -3.368 eV per atom. The value obtained for the formation energy is -105 meV/atom.

=====

2.
This record from Alexandria describes a geometry-optimized PrCdCu structure. The functional is PBE.

The structure belongs to space group F-43m (No. 216); the cell edges are 6.737, 6.737 and 6.737 Å and the angles 90.00°, 90.00° and 90.00°. The distinct sites, in fractional coordinates, are Pr at (0.000, 0.000, 0.000), Cd at (0.000, 0.000, 0.500) and Cu at (0.250, 0.250, 0.250).

Its crystal system is cubic. The offset from the most stable computed form is 0.379 eV per formula unit. Its total DFT energy (no corrections) is -3.397 eV per atom. The value obtained for the formation energy is -133 meV/atom.

=====

3.
This record from Alexandria describes a geometry-optimized PrCdCu structure. The functional is PBE.

The structure belongs to space group P-62m (No. 189); the cell edges are 7.7801, 7.7801 and 3.9566 Å and the angles 90.00°, 90.00° and 120.00°. The distinct sites, in fractional coordinates, are Pr at (0.0000, 0.4118, 0.0000), Cd at (0.0000, 0.7514, 0.5000), Cu at (0.0000, 0.0000, 0.0000) and Cu at (0.3333, 0.6667, 0.5000).

Its crystal system is hexagonal. The offset from the most stable computed form is 0.000 eV per formula unit. Its total DFT energy (no corrections) is -3.523 eV per atom. The value obtained for the formation energy is -260 meV/atom.

=====

4.
This record from Alexandria describes a geometry-optimized Pr2Cd2Cu15 structure. The functional is PBE.

The structure belongs to space group R-3m (No. 166, hexagonal axes); the cell edges are 8.8318, 8.8318 and 12.8644 Å and the angles 90.00°, 90.00° and 120.00°. The distinct sites, in fractional coordinates, are Pr at (0.0000, 0.0000, 0.1476), Cd at (0.0000, 0.0000, 0.3944), Cu at (0.0000, 0.3010, 0.5000), Cu at (0.0000, 0.5000, 0.0000) and Cu at (0.0042, 0.5021, 0.6544).

Its crystal system is trigonal. Its total DFT energy (no corrections) is -3.912 eV per atom. The value obtained for the formation energy is -79 meV/atom.

=====

5.
This record from Alexandria describes a geometry-optimized PrCdCu5 structure. The functional is PBE.

The structure belongs to space group Pnma (No. 62); the cell edges are 8.402, 5.127 and 10.583 Å and the angles 90.00°, 90.00° and 90.00°. The distinct sites, in fractional coordinates, are Pr at (0.244, 0.250, 0.063), Cd at (0.138, 0.750, 0.864), Cu at (0.054, 0.750, 0.111), Cu at (0.067, 0.000, 0.314), Cu at (0.083, 0.250, 0.516) and Cu at (0.185, 0.250, 0.743).

Its crystal system is orthorhombic. Its total DFT energy (no corrections) is -3.910 eV per atom. The value obtained for the formation energy is -171 meV/atom.

=====

6.
This record from Alexandria describes a geometry-optimized Pr3Cd2Cu4 structure. The functional is PBE.

The structure belongs to space group C2/m (No. 12); the cell edges are 10.220, 4.397 and 9.020 Å and the angles 90.00°, 94.19° and 90.00°. The distinct sites, in fractional coordinates, are Pr at (0.000, 0.000, 0.000), Pr at (0.130, 0.500, 0.378), Cd at (0.173, 0.500, 0.773), Cu at (0.072, 0.000, 0.621) and Cu at (0.219, 0.500, 0.070).

Its crystal system is monoclinic. Its total DFT energy (no corrections) is -3.805 eV per atom. The value obtained for the formation energy is -188 meV/atom.

=====

7.
This record from Alexandria describes a geometry-optimized Pr6Cd5Cu structure. The functional is PBE.

The structure belongs to space group Immm (No. 71); the cell edges are 5.414, 7.754 and 16.254 Å and the angles 90.00°, 90.00° and 90.00°. The distinct sites, in fractional coordinates, are Pr at (0.000, 0.235, 0.000), Pr at (0.000, 0.259, 0.340), Cd at (0.000, 0.000, 0.177), Cd at (0.000, 0.000, 0.500), Cd at (0.000, 0.500, 0.168) and Cu at (0.000, 0.500, 0.500).

Its crystal system is orthorhombic. Its total DFT energy (no corrections) is -3.385 eV per atom. The value obtained for the formation energy is -272 meV/atom.

=====

8.
This record from Alexandria describes a geometry-optimized Pr3CdCu structure. The functional is PBE.

The structure belongs to space group Cmcm (No. 63); the cell edges are 5.332, 20.247 and 5.331 Å and the angles 90.00°, 90.00° and 90.00°. The distinct sites, in fractional coordinates, are Pr at (0.000, 0.064, 0.250), Pr at (0.000, 0.249, 0.250), Pr at (0.000, 0.434, 0.250), Cd at (0.000, 0.156, 0.750) and Cu at (0.000, 0.340, 0.750).

Its crystal system is orthorhombic. The offset from the most stable computed form is 0.000 eV per formula unit. Its total DFT energy (no corrections) is -4.001 eV per atom. The value obtained for the formation energy is -132 meV/atom.

=====

no.,DOS at the Fermi energy (states/eV per cell)
1,6.26
2,14.86
3,6.99
4,28.45
5,12.22
6,16.01
7,29.53
8,20.97